# PBE+U Na3ZnCr3O8, optimized geometry
data_Na3ZnCr3O8
_chemical_formula_sum 'Na6 Zn2 Cr6 O16'
_cell_length_a 10.444
_cell_length_b 5.993
_cell_length_c 6.453
_cell_angle_alpha 90.00
_cell_angle_beta 122.87
_cell_angle_gamma 90.00
_symmetry_space_group_name_H-M 'C 1 2/m 1'
_symmetry_Int_Tables_number 12
_symmetry_space_group_name_Hall '-C 2y'
loop_
_atom_site_label
_atom_site_fract_x
_atom_site_fract_y
_atom_site_fract_z
Na1 0.000 0.000 0.000
Na2 0.250 0.250 0.000
Zn1 0.000 0.000 0.500
Cr1 0.000 0.500 0.500
Cr2 0.250 0.250 0.500
O1 0.027 0.254 0.312
O2 0.234 0.500 0.701
O3 0.246 0.000 0.692
# Final energy (eV/atom): -6.1615
# Density (Mg/m³): 4.10